Record 1
# Sc2FeAg2, optimized geometry, DFT PBE
data_Sc2FeAg2
_cell_length_a 3.6390
_cell_length_b 3.6390
_cell_length_c 8.1316
_cell_angle_alpha 77.07
_cell_angle_beta 77.07
_cell_angle_gamma 90.00
_symmetry_space_group_name_H-M 'P 1'
_symmetry_Int_Tables_number 1
_symmetry_space_group_name_Hall 'P 1'
loop_
_atom_site_label
_atom_site_fract_x
_atom_site_fract_y
_atom_site_fract_z
_atom_site_occupancy
Sc1 0.5923 0.5923 0.8155 1
Sc2 0.4077 0.4077 0.1845 1
Ag1 0.2500 0.7500 0.5000 1
Fe1 0.0000 0.0000 0.0000 1
Ag2 0.7500 0.2500 0.5000 1
# Calculated volume ... 102 Å³ per cell
# Crystal system ... tetragonal
# Energy relative to the lowest polymorph listed for this composition ... 0 meV/atom
# N(E_F) ... 0.73 states/eV/atom
# ρ ... 5.88 g/cm³
# DFT formation energy ... 0.219 eV/atom



Record 2
# Sc2Fe4Ag, optimized geometry, DFT PBE
data_Sc2Fe4Ag
_cell_length_a 4.6149
_cell_length_b 4.6149
_cell_length_c 7.5136
_cell_angle_alpha 72.12
_cell_angle_beta 72.12
_cell_angle_gamma 90.00
_symmetry_space_group_name_H-M 'P 1'
_symmetry_Int_Tables_number 1
_symmetry_space_group_name_Hall 'P 1'
loop_
_atom_site_label
_atom_site_fract_x
_atom_site_fract_y
_atom_site_fract_z
_atom_site_occupancy
Fe1 0.1855 0.1855 0.6290 1
Sc1 0.3828 0.3828 0.2344 1
Fe2 0.8145 0.8145 0.3710 1
Ag1 0.0000 0.0000 0.0000 1
Fe3 0.5000 0.0000 0.0000 1
Fe4 0.0000 0.5000 0.0000 1
Sc2 0.6172 0.6172 0.7656 1
# Calculated volume ... 144 Å³ per cell
# Crystal system ... tetragonal
# N(E_F) ... 1.14 states/eV/atom
# ρ ... 4.85 g/cm³
# DFT formation energy ... 1.080 eV/atom



Record 3
# Sc2FeAg, optimized geometry, DFT PBE
data_Sc2FeAg
_cell_length_a 7.1222
_cell_length_b 7.1222
_cell_length_c 5.8279
_cell_angle_alpha 52.33
_cell_angle_beta 52.33
_cell_angle_gamma 90.00
_symmetry_space_group_name_H-M 'P 1'
_symmetry_Int_Tables_number 1
_symmetry_space_group_name_Hall 'P 1'
loop_
_atom_site_label
_atom_site_fract_x
_atom_site_fract_y
_atom_site_fract_z
_atom_site_occupancy
Sc1 0.1679 0.6250 0.2500 1
Sc2 0.8750 0.8321 0.7500 1
Sc3 0.5821 0.1250 0.2500 1
Ag1 0.7500 0.2500 0.5000 1
Fe1 0.5000 0.5000 0.0000 1
Ag2 0.0000 0.0000 0.0000 1
Fe2 0.2500 0.7500 0.5000 1
Sc4 0.3750 0.4179 0.7500 1
# Calculated volume ... 149 Å³ per cell
# Crystal system ... tetragonal
# N(E_F) ... 0.58 states/eV/atom
# ρ ... 5.66 g/cm³
# DFT formation energy ... 0.220 eV/atom



Record 4
# SrScFeAg2, optimized geometry, DFT PBE
data_SrScFeAg2
_cell_length_a 5.3289
_cell_length_b 4.6117
_cell_length_c 5.3289
_cell_angle_alpha 90.00
_cell_angle_beta 90.00
_cell_angle_gamma 90.00
_symmetry_space_group_name_H-M 'P 1'
_symmetry_Int_Tables_number 1
_symmetry_space_group_name_Hall 'P 1'
loop_
_atom_site_label
_atom_site_fract_x
_atom_site_fract_y
_atom_site_fract_z
_atom_site_occupancy
Ag1 0.0000 0.0000 0.5000 1
Fe1 0.0000 0.5000 0.0000 1
Sr1 0.5000 0.5000 0.5000 1
Sc1 0.0000 0.0000 0.0000 1
Ag2 0.5000 0.0000 0.0000 1
# Calculated volume ... 131 Å³ per cell
# Crystal system ... tetragonal
# N(E_F) ... 0.95 states/eV/atom
# ρ ... 5.12 g/cm³
# DFT formation energy ... 0.453 eV/atom